A PBEsol-optimized structure of AlSb2IrAu. Source: the Alexandria database, functional meta-GGA SCAN.

Unit cell a=5.112 b=5.112 c=4.636 alpha=90.00 beta=90.00 gamma=90.00
Space group P4/mmm (No. 123)
Inequivalent atoms, fractional coordinates:
Al (0.000, 0.000, 0.000) [1 per cell]
Sb (0.000, 0.500, 0.500) [2 per cell]
Ir (0.000, 0.000, 0.500) [1 per cell]
Au (0.500, 0.500, 0.000) [1 per cell]

The raw total energy comes out at -44.2117 eV/atom.